--- P ---
4
Lattice="-2.012 2.012 4.044 2.012 -2.012 4.044 2.012 2.012 -4.044" Properties=species:S:1:pos:R:3 comment="ScAgIr2 GGA-PBE optimized geometry" spacegroup="No. 139" total_magnetization_mub_per_cell=0.0 pbc="T T T"
Sc 0.000 0.000 0.000
Ag 0.000 0.000 4.044
Ir 2.012 0.000 2.022
Ir 0.000 2.012 2.022

--- Q ---
4
Lattice="1.461 0.844 9.003 -1.461 0.844 9.003 0.000 -1.687 9.003" Properties=species:S:1:pos:R:3 comment="ScAgIr2 GGA-PBE optimized geometry" spacegroup="No. 166" total_magnetization_mub_per_cell=0.0 pbc="T T T"
Sc 0.000 0.000 0.000
Ag 0.000 0.000 13.504
Ir 0.000 0.000 6.901
Ir 0.000 0.000 20.108

Most stable structure - P; separation to the second - 114 meV/atom.

--- P ---
4
Lattice="-1.506 2.307 4.845 1.506 -2.307 4.845 1.506 2.307 -4.845" Properties=species:S:1:pos:R:3 comment="ScAgIr2 GGA-PBE optimized geometry" spacegroup="No. 44" total_magnetization_mub_per_cell=0.0 pbc="T T T"
Sc 0.000 0.000 0.000
Ag 1.506 0.000 2.697
Ir 0.000 0.000 5.133
Ir 0.000 2.307 2.423

--- Q ---
4
Lattice="4.683 -1.457 0.000 4.683 1.457 0.000 -1.051 0.000 4.769" Properties=species:S:1:pos:R:3 comment="ScAgIr2 GGA-PBE optimized geometry" spacegroup="No. 12" total_magnetization_mub_per_cell=0.0 pbc="T T T"
Sc 0.000 0.000 0.000
Ag 4.157 0.000 2.384
Ir 1.624 0.000 3.573
Ir 6.691 0.000 1.196

Most stable structure - Q; separation to the second - 95 meV/atom.

--- P ---
4
Lattice="2.890 0.000 0.000 0.000 2.890 0.000 0.000 0.000 7.932" Properties=species:S:1:pos:R:3 comment="ScAgIr2 GGA-PBE optimized geometry" spacegroup="No. 123" total_magnetization_mub_per_cell=0.0 pbc="T T T"
Sc 0.000 0.000 0.000
Ag 0.000 0.000 3.966
Ir 1.445 1.445 1.901
Ir 1.445 1.445 6.032

--- Q ---
4
Lattice="2.885 -3.709 0.000 2.885 3.709 0.000 0.000 0.000 3.048" Properties=species:S:1:pos:R:3 comment="ScAgIr2 GGA-PBE optimized geometry" spacegroup="No. 65" total_magnetization_mub_per_cell=0.0 pbc="T T T"
Sc 0.000 0.000 0.000
Ag 2.885 0.000 0.000
Ir 1.443 1.854 1.524
Ir 1.443 -1.854 1.524

--- R ---
4
Lattice="0.000 3.207 3.207 3.207 0.000 3.207 3.207 3.207 0.000" Properties=species:S:1:pos:R:3 comment="ScAgIr2 GGA-PBE optimized geometry" spacegroup="No. 225" total_magnetization_mub_per_cell=0.0 pbc="T T T"
Sc 0.000 0.000 0.000
Ag 3.207 3.207 3.207
Ir 1.604 1.604 1.604
Ir 4.811 4.811 4.811

--- S ---
4
Lattice="-2.000 2.000 4.076 2.000 -2.000 4.076 2.000 2.000 -4.076" Properties=species:S:1:pos:R:3 comment="ScAgIr2 GGA-PBE optimized geometry" spacegroup="No. 119" total_magnetization_mub_per_cell=0.0 pbc="T T T"
Sc 0.000 0.000 0.000
Ag 2.000 0.000 2.038
Ir 0.000 0.000 4.076
Ir 0.000 2.000 2.038

Most stable structure - S; separation to the second - 12 meV/atom.

--- P ---
5
Lattice="4.772 0.000 0.000 0.000 4.772 0.000 0.000 0.000 4.772" Properties=species:S:1:pos:R:3 comment="ScAgIr3 GGA-PBE optimized geometry" spacegroup="No. 221" total_magnetization_mub_per_cell=1.1 pbc="T T T"
Sc 0.000 0.000 0.000
Ag 2.386 2.386 2.386
Ir 0.000 2.386 2.386
Ir 2.386 0.000 2.386
Ir 2.386 2.386 0.000

--- Q ---
5
Lattice="4.689 0.000 0.000 0.000 4.689 0.000 0.000 0.000 4.689" Properties=species:S:1:pos:R:3 comment="ScAgIr3 GGA-PBE optimized geometry" spacegroup="No. 221" total_magnetization_mub_per_cell=0.0 pbc="T T T"
Sc 0.000 0.000 0.000
Ag 2.344 2.344 2.344
Ir 0.000 0.000 2.344
Ir 0.000 2.344 0.000
Ir 2.344 0.000 0.000

Most stable structure - Q; separation to the second - 162 meV/atom.

--- P ---
11
Lattice="3.809 -6.851 0.000 3.809 6.851 0.000 -2.212 0.000 4.682" Properties=species:S:1:pos:R:3 comment="Sc8Ag2Ir GGA-PBE optimized geometry" spacegroup="No. 8" total_magnetization_mub_per_cell=0.0 pbc="T T T"
Sc 0.000 0.000 0.000
Sc -0.168 1.523 2.670
Sc 2.304 2.680 0.987
Sc -0.168 -1.523 2.670
Sc 2.622 1.515 3.927
Sc 2.304 -2.680 0.987
Sc 2.622 -1.515 3.927
Sc 4.668 0.000 1.935
Ag 1.237 4.042 3.373
Ag 1.237 -4.042 3.373
Ir 2.140 0.000 1.387

--- Q ---
11
Lattice="8.027 -2.427 0.000 8.027 2.427 0.000 -2.195 0.000 6.106" Properties=species:S:1:pos:R:3 comment="Sc8Ag2Ir GGA-PBE optimized geometry" spacegroup="No. 12" total_magnetization_mub_per_cell=0.0 pbc="T T T"
Sc -0.233 0.000 1.779
Sc 1.383 0.000 4.822
Sc 4.246 0.000 3.297
Sc 6.367 0.000 0.405
Sc 7.492 0.000 5.700
Sc 9.613 0.000 2.808
Sc 12.476 0.000 1.283
Sc 14.092 0.000 4.327
Ag 2.480 0.000 1.212
Ag 11.380 0.000 4.894
Ir 6.930 0.000 3.053

Most stable structure - Q; separation to the second - 133 meV/atom.

--- P ---
6
Lattice="0.000 3.891 3.891 3.891 0.000 3.891 3.891 3.891 0.000" Properties=species:S:1:pos:R:3 comment="Sc4AgIr GGA-PBE optimized geometry" spacegroup="No. 216" total_magnetization_mub_per_cell=0.0 pbc="T T T"
Sc 2.933 2.933 2.933
Sc 4.849 4.849 2.933
Sc 4.849 2.933 4.849
Sc 2.933 4.849 4.849
Ag 0.000 0.000 0.000
Ir 5.836 5.836 5.836

--- Q ---
6
Lattice="4.581 0.000 0.000 0.000 4.581 0.000 0.000 0.000 6.662" Properties=species:S:1:pos:R:3 comment="Sc4AgIr GGA-PBE optimized geometry" spacegroup="No. 123" total_magnetization_mub_per_cell=0.0 pbc="T T T"
Sc 0.000 2.291 1.528
Sc 0.000 2.291 5.134
Sc 2.291 0.000 1.528
Sc 2.291 0.000 5.134
Ag 0.000 0.000 3.331
Ir 2.291 2.291 0.000

--- R ---
24
Lattice="0.000 6.308 6.308 6.308 0.000 6.308 6.308 6.308 0.000" Properties=species:S:1:pos:R:3 comment="Sc4AgIr GGA-PBE optimized geometry" spacegroup="No. 216" total_magnetization_mub_per_cell=0.0 pbc="T T T"
Sc 3.154 3.154 0.794
Sc 3.154 0.794 3.154
Sc 5.514 3.154 3.154
Sc 8.097 4.519 4.519
Sc 6.308 6.308 2.358
Sc 6.308 2.358 6.308
Sc 10.257 6.308 6.308
Sc 0.794 3.154 3.154
Sc 3.154 5.514 3.154
Sc 3.154 3.154 5.514
Sc 4.519 8.097 4.519
Sc 4.519 4.519 8.097
Sc 8.097 8.097 8.097
Sc 2.358 6.308 6.308
Sc 6.308 10.257 6.308
Sc 6.308 6.308 10.257
Ag 5.253 5.253 5.253
Ag 7.363 7.363 5.253
Ag 7.363 5.253 7.363
Ag 5.253 7.363 7.363
Ir 10.781 8.142 8.142
Ir 8.142 10.781 8.142
Ir 8.142 8.142 10.781
Ir 10.781 10.781 10.781

Most stable structure - R; separation to the second - 190 meV/atom.

--- P ---
10
Lattice="7.352 0.000 0.000 0.000 7.352 0.000 0.000 0.000 3.488" Properties=species:S:1:pos:R:3 comment="Sc2Ag2Ir GGA-PBE optimized geometry" spacegroup="No. 127" total_magnetization_mub_per_cell=0.0 pbc="T T T"
Sc 1.331 2.344 0.000
Sc 2.344 6.020 0.000
Sc 5.007 1.331 0.000
Sc 6.020 5.007 0.000
Ag 0.932 4.608 1.744
Ag 2.744 0.932 1.744
Ag 4.608 6.420 1.744
Ag 6.420 2.744 1.744
Ir 0.000 0.000 1.744
Ir 3.676 3.676 1.744

--- Q ---
5
Lattice="-2.580 2.580 3.903 2.580 -2.580 3.903 2.580 2.580 -3.903" Properties=species:S:1:pos:R:3 comment="Sc2Ag2Ir GGA-PBE optimized geometry" spacegroup="No. 139" total_magnetization_mub_per_cell=0.0 pbc="T T T"
Sc 2.580 0.000 1.952
Sc 0.000 2.580 1.952
Ag 0.000 0.000 1.221
Ag 0.000 0.000 6.585
Ir 0.000 0.000 3.903

Most stable structure - P; separation to the second - 286 meV/atom.

--- P ---
10
Lattice="7.785 0.000 0.000 0.000 7.785 0.000 0.000 0.000 2.998" Properties=species:S:1:pos:R:3 comment="Sc2AgIr2 GGA-PBE optimized geometry" spacegroup="No. 127" total_magnetization_mub_per_cell=0.0 pbc="T T T"
Sc 1.154 2.739 0.000
Sc 2.739 6.632 0.000
Sc 5.047 1.154 0.000
Sc 6.632 5.047 0.000
Ag 0.000 0.000 0.000
Ag 3.893 3.893 0.000
Ir 1.141 5.034 1.499
Ir 2.751 1.141 1.499
Ir 5.034 6.644 1.499
Ir 6.644 2.751 1.499

--- Q ---
10
Lattice="7.601 0.000 0.000 0.000 7.601 0.000 0.000 0.000 3.124" Properties=species:S:1:pos:R:3 comment="Sc2AgIr2 GGA-PBE optimized geometry" spacegroup="No. 127" total_magnetization_mub_per_cell=0.0 pbc="T T T"
Sc 1.211 2.590 0.000
Sc 2.590 6.390 0.000
Sc 5.011 1.211 0.000
Sc 6.390 5.011 0.000
Ag 0.000 0.000 1.562
Ag 3.801 3.801 1.562
Ir 1.046 4.846 1.562
Ir 2.755 1.046 1.562
Ir 4.846 6.555 1.562
Ir 6.555 2.755 1.562

Most stable structure - Q; separation to the second - 123 meV/atom.

--- P ---
6
Lattice="4.878 0.000 0.000 0.000 3.821 0.000 -0.286 0.000 7.260" Properties=species:S:1:pos:R:3 comment="AgIrSe4 GGA-PBE optimized geometry" spacegroup="No. 10" total_magnetization_mub_per_cell=0.0 pbc="T T T"
Ag 0.000 0.000 0.000
Ir -0.143 1.911 3.630
Se 0.823 1.911 5.925
Se 1.313 0.000 2.867
Se 3.280 0.000 4.393
Se 3.769 1.911 1.335

--- Q ---
6
Lattice="0.000 3.939 3.939 3.939 0.000 3.939 3.939 3.939 0.000" Properties=species:S:1:pos:R:3 comment="AgIrSe4 GGA-PBE optimized geometry" spacegroup="No. 216" total_magnetization_mub_per_cell=0.7 pbc="T T T"
Ag 0.000 0.000 0.000
Ir 5.909 5.909 5.909
Se 2.961 2.961 2.961
Se 4.917 4.917 2.961
Se 4.917 2.961 4.917
Se 2.961 4.917 4.917

Most stable structure - P; separation to the second - 1278 meV/atom.

--- P ---
20
Lattice="7.414 0.000 0.000 0.000 4.745 0.000 0.000 0.000 15.397" Properties=species:S:1:pos:R:3 comment="Sm3AgIr GGA-PBE optimized geometry" spacegroup="No. 62" total_magnetization_mub_per_cell=0.0 pbc="T T T"
Sm 0.093 1.186 1.538
Sm 0.993 3.559 6.949
Sm 1.356 1.186 11.102
Sm 2.350 3.559 3.404
Sm 2.713 1.186 14.648
Sm 3.614 3.559 9.237
Sm 3.800 1.186 6.160
Sm 4.700 3.559 0.749
Sm 5.063 1.186 11.993
Sm 6.057 3.559 4.295
Sm 6.420 1.186 8.448
Sm 7.320 3.559 13.859
Ag 0.766 1.186 4.813
Ag 2.941 3.559 12.512
Ag 4.472 1.186 2.885
Ag 6.648 3.559 10.584
Ir 1.714 3.559 0.688
Ir 1.993 1.186 8.387
Ir 5.421 3.559 7.010
Ir 5.699 1.186 14.709

--- Q ---
20
Lattice="7.029 -5.579 0.000 7.029 5.579 0.000 0.000 0.000 7.377" Properties=species:S:1:pos:R:3 comment="Sm3AgIr GGA-PBE optimized geometry" spacegroup="No. 63" total_magnetization_mub_per_cell=0.0 pbc="T T T"
Sm 1.811 0.000 0.000
Sm 1.811 0.000 3.688
Sm 5.144 1.911 3.735
Sm 5.144 1.911 7.330
Sm 8.915 1.911 3.735
Sm 8.915 1.911 7.330
Sm 5.144 -1.911 0.047
Sm 5.144 -1.911 3.641
Sm 8.915 -1.911 0.047
Sm 8.915 -1.911 3.641
Sm 12.248 0.000 0.000
Sm 12.248 0.000 3.688
Ag 7.029 3.675 1.844
Ag 7.029 0.024 1.844
Ag 7.029 -0.024 5.532
Ag 7.029 -3.675 5.532
Ir 3.070 1.709 1.844
Ir 3.070 -1.709 5.532
Ir 10.989 1.709 1.844
Ir 10.989 -1.709 5.532

Most stable structure - P; separation to the second - 96 meV/atom.

--- P ---
6
Lattice="3.535 0.000 0.000 0.000 3.535 0.000 0.000 0.000 11.085" Properties=species:S:1:pos:R:3 comment="Sm3AgIr2 GGA-PBE optimized geometry" spacegroup="No. 123" total_magnetization_mub_per_cell=0.0 pbc="T T T"
Sm 0.000 0.000 0.000
Sm 0.000 0.000 3.414
Sm 0.000 0.000 7.671
Ag 1.767 1.767 5.543
Ir 1.767 1.767 1.797
Ir 1.767 1.767 9.289

--- Q ---
6
Lattice="2.529 -7.441 0.000 2.529 7.441 0.000 0.000 0.000 3.611" Properties=species:S:1:pos:R:3 comment="Sm3AgIr2 GGA-PBE optimized geometry" spacegroup="No. 65" total_magnetization_mub_per_cell=0.0 pbc="T T T"
Sm 0.000 0.000 0.000
Sm 2.529 2.615 0.000
Sm 2.529 -2.615 0.000
Ag 2.529 0.000 1.805
Ir 2.529 5.014 1.805
Ir 2.529 -5.014 1.805

Most stable structure - P; separation to the second - 12 meV/atom.